Density functional theory data (PBE with a Hubbard U) for a relaxed structure of CoSi3F.

The calculation puts the total energy at -3.790 eV per atom. The value obtained for the energy above the lowest structure with this stoichiometry is 0.831 eV/atom. The total magnetization is 0.00 μB per formula unit.

It has space group Pm-3m (No. 221), with a = 4.176 Å, b = 4.176 Å, c = 4.176 Å, α = 90.00°, β = 90.00° and γ = 90.00°. The inequivalent atoms are Co at (0.000, 0.000, 0.000), Si at (0.000, 0.500, 0.500) and F at (0.500, 0.500, 0.500).